{
  "formula": "Ce2AlIn",
  "functional": "PBE-GGA",
  "state": "relaxed",
  "cell": [[-0.541, 4.032, 2.265], [-6.515, -2.210, 2.378], [-3.913, -2.924, 4.270]],
  "species": ["Ce", "Ce", "Al", "In"],
  "frac_coords": [[0.613, 0.635, 0.542], [0.612, 0.636, 0.100], [0.112, 0.135, 0.821], [0.112, 0.135, 0.321]],
  "spacegroup": "Pmmm",
  "ef_ev_per_atom": -0.3394,
  "energy_ev_per_fu": -19.7,
  "vol_a3_per_atom": 24.89,
  "m_tot_mub_per_cell": 1.5
}

{
  "formula": "Ce3AlIn2",
  "functional": "PBE-GGA",
  "state": "relaxed",
  "cell": [[3.263, 0.000, 0.000], [0.000, 3.263, 0.000], [0.000, 0.000, 14.257]],
  "species": ["Ce", "Ce", "Ce", "Al", "In", "In"],
  "frac_coords": [[0.000, 0.000, 0.000], [0.000, 0.000, 0.652], [0.000, 0.000, 0.348], [0.500, 0.500, 0.500], [0.500, 0.500, 0.827], [0.500, 0.500, 0.173]],
  "spacegroup": "P4/mmm",
  "ef_ev_per_atom": -0.3475,
  "energy_ev_per_fu": -29.1,
  "vol_a3_per_atom": 25.30,
  "m_tot_mub_per_cell": 1.4
}

{
  "formula": "Ce2AlIn",
  "functional": "PBE-GGA",
  "state": "relaxed",
  "cell": [[4.707, 0.000, 0.000], [0.000, 4.584, 0.000], [0.000, 0.000, 4.584]],
  "species": ["Al", "Ce", "Ce", "In"],
  "frac_coords": [[0.500, 0.500, 0.500], [0.000, 0.000, 0.500], [0.000, 0.500, 0.000], [0.500, 0.000, 0.000]],
  "spacegroup": "P4/mmm",
  "ef_ev_per_atom": -0.3161,
  "energy_ev_per_fu": -19.6,
  "vol_a3_per_atom": 24.73,
  "m_tot_mub_per_cell": 0.6
}